Entry 1:
{"formula": "Li2MgTlN", "functional": "PBE", "state": "relaxed", "space_group": "No. 123", "e_form_raw_ev_per_atom": -0.233, "cell": [[4.344, 0.000, 0.000], [0.000, 4.344, 0.000], [0.000, 0.000, 4.149]], "species": ["Li", "Li", "Mg", "Tl", "N"], "fractional_positions": [[0.000, 0.500, 0.000], [0.500, 0.000, 0.000], [0.000, 0.000, 0.500], [0.500, 0.500, 0.500], [0.000, 0.000, 0.000]]}

---

Entry 2:
{"formula": "CdSbSeBr2", "functional": "PBE", "state": "relaxed", "space_group": "No. 123", "e_form_raw_ev_per_atom": -0.070, "cell": [[5.615, 0.000, 0.000], [0.000, 5.615, 0.000], [0.000, 0.000, 5.393]], "species": ["Cd", "Sb", "Se", "Br", "Br"], "fractional_positions": [[0.000, 0.000, 0.000], [0.500, 0.500, 0.500], [0.500, 0.500, 0.000], [0.000, 0.500, 0.500], [0.500, 0.000, 0.500]]}

---

Entry 3:
{"formula": "Y2Co", "functional": "PBE", "state": "relaxed", "space_group": "No. 164", "delta_e_f_ev_per_fu": -0.1, "cell": [[3.878, 0.000, 0.000], [-1.939, 3.358, 0.000], [0.000, 0.000, 6.209]], "species": ["Y", "Y", "Co"], "fractional_positions": [[0.333, 0.667, 0.234], [0.667, 0.333, 0.766], [0.000, 0.000, 0.000]]}

---

Entry 4:
{"formula": "Mg2CdPb2", "functional": "PBE", "state": "relaxed", "space_group": "No. 127", "delta_e_f_ev_per_fu": 0.2, "cell": [[9.034, 0.000, 0.000], [0.000, 9.034, 0.000], [0.000, 0.000, 3.310]], "species": ["Mg", "Mg", "Mg", "Mg", "Cd", "Cd", "Pb", "Pb", "Pb", "Pb"], "fractional_positions": [[0.137, 0.363, 0.000], [0.363, 0.863, 0.000], [0.637, 0.137, 0.000], [0.863, 0.637, 0.000], [0.000, 0.000, 0.500], [0.500, 0.500, 0.500], [0.160, 0.660, 0.500], [0.340, 0.160, 0.500], [0.660, 0.840, 0.500], [0.840, 0.340, 0.500]]}

---

Entry 5:
{"formula": "Sm2Y5Ho5", "functional": "PBE", "state": "relaxed", "space_group": "No. 12", "delta_e_f_ev_per_fu": 0.3, "cell": [[7.551, -2.518, 0.000], [7.551, 2.518, 0.000], [-5.034, 0.000, 10.079]], "species": ["Sm", "Sm", "Y", "Y", "Y", "Y", "Y", "Ho", "Ho", "Ho", "Ho", "Ho"], "fractional_positions": [[0.083, 0.083, 0.249], [0.917, 0.917, 0.751], [0.334, 0.334, 0.500], [0.416, 0.416, 0.249], [0.500, 0.500, 0.000], [0.584, 0.584, 0.751], [0.666, 0.666, 0.500], [0.000, 0.000, 0.500], [0.168, 0.168, 0.000], [0.250, 0.250, 0.751], [0.750, 0.750, 0.249], [0.832, 0.832, 0.000]]}

---

Entry 6:
{"formula": "La8Rh3CI4", "functional": "PBE", "state": "relaxed", "space_group": "No. 12", "e_form_raw_ev_per_atom": -0.925, "cell": [[7.266, -4.175, 0.000], [7.266, 4.175, 0.000], [-4.849, 0.000, 8.231]], "species": ["La", "La", "La", "La", "La", "La", "La", "La", "Rh", "Rh", "Rh", "C", "I", "I", "I", "I"], "fractional_positions": [[0.217, 0.746, 0.678], [0.218, 0.218, 0.678], [0.254, 0.783, 0.322], [0.269, 0.269, 0.310], [0.731, 0.731, 0.690], [0.746, 0.217, 0.678], [0.782, 0.782, 0.322], [0.783, 0.254, 0.322], [0.000, 0.500, 0.500], [0.500, 0.000, 0.500], [0.500, 0.500, 0.500], [0.000, 0.000, 0.500], [0.000, 0.000, 0.000], [0.000, 0.500, 0.000], [0.500, 0.000, 0.000], [0.500, 0.500, 0.000]]}

---

Entry 7:
{"formula": "HgPbAu2", "functional": "PBE", "state": "relaxed", "space_group": "No. 216", "delta_e_f_ev_per_fu": 0.4, "cell": [[0.000, 3.578, 3.578], [3.578, 0.000, 3.578], [3.578, 3.578, 0.000]], "species": ["Hg", "Pb", "Au", "Au"], "fractional_positions": [[0.000, 0.000, 0.000], [0.250, 0.250, 0.250], [0.500, 0.500, 0.500], [0.750, 0.750, 0.750]]}

---

Entry 8:
{"formula": "ZrSiRu2", "functional": "PBE", "state": "relaxed", "space_group": "No. 119", "e_form_raw_ev_per_atom": -0.471, "cell": [[-1.868, 1.868, 4.386], [1.868, -1.868, 4.386], [1.868, 1.868, -4.386]], "species": ["Zr", "Si", "Ru", "Ru"], "fractional_positions": [[0.000, 0.000, 0.000], [0.750, 0.250, 0.500], [0.250, 0.750, 0.500], [0.500, 0.500, 0.000]]}

---

Entry 9:
{"formula": "Ti3B4Mo", "functional": "PBE", "state": "relaxed", "space_group": "No. 71", "delta_e_f_ev_per_fu": -3.5, "cell": [[-1.598, 2.394, 6.067], [1.598, -2.394, 6.067], [1.598, 2.394, -6.067]], "species": ["Ti", "Ti", "Ti", "B", "B", "B", "B", "Mo"], "fractional_positions": [[0.000, 0.000, 0.000], [0.308, 0.808, 0.500], [0.692, 0.192, 0.500], [0.041, 0.367, 0.673], [0.306, 0.633, 0.673], [0.694, 0.367, 0.327], [0.959, 0.633, 0.327], [0.500, 0.500, 0.000]]}

---

Entry 10:
{"formula": "SnBSb3", "functional": "PBE", "state": "relaxed", "space_group": "No. 221", "e_form_raw_ev_per_atom": 1.701, "cell": [[5.652, 0.000, 0.000], [0.000, 5.652, 0.000], [0.000, 0.000, 5.652]], "species": ["Sn", "B", "Sb", "Sb", "Sb"], "fractional_positions": [[0.000, 0.000, 0.000], [0.500, 0.500, 0.500], [0.000, 0.000, 0.500], [0.000, 0.500, 0.000], [0.500, 0.000, 0.000]]}

---

Entry 11:
{"formula": "PmPr7Tl4", "functional": "PBE", "state": "relaxed", "space_group": "No. 12", "delta_e_f_ev_per_fu": -1.0, "cell": [[7.508, -2.980, 0.000], [7.508, 2.980, 0.000], [-5.860, 0.000, 8.992]], "species": ["Pm", "Pr", "Pr", "Pr", "Pr", "Pr", "Pr", "Pr", "Tl", "Tl", "Tl", "Tl"], "fractional_positions": [[0.000, 0.000, 0.000], [0.061, 0.061, 0.393], [0.203, 0.203, 0.882], [0.276, 0.276, 0.338], [0.500, 0.500, 0.000], [0.724, 0.724, 0.662], [0.797, 0.797, 0.118], [0.939, 0.939, 0.607], [0.313, 0.313, 0.667], [0.443, 0.443, 0.253], [0.557, 0.557, 0.747], [0.687, 0.687, 0.333]]}

---

Entry 12:
{"formula": "AgAsRu", "functional": "PBE", "state": "relaxed", "space_group": "No. 156", "delta_e_f_ev_per_fu": 0.5, "cell": [[4.154, 0.000, 0.000], [-2.077, 3.597, 0.000], [0.000, 0.000, 3.369]], "species": ["Ag", "As", "Ru"], "fractional_positions": [[0.000, 0.000, 0.000], [0.667, 0.333, 0.503], [0.333, 0.667, 0.499]]}

---

Entry 13:
{"formula": "Na3Mg2CdH9", "functional": "PBE", "state": "relaxed", "space_group": "No. 164", "total_energy_ev_per_atom": -2.655, "cell": [[5.501, 0.000, 0.000], [-2.751, 4.764, 0.000], [0.000, 0.000, 6.738]], "species": ["Na", "Na", "Na", "Mg", "Mg", "Cd", "H", "H", "H", "H", "H", "H", "H", "H", "H"], "fractional_positions": [[0.000, 0.000, 0.000], [0.333, 0.667, 0.662], [0.667, 0.333, 0.338], [0.333, 0.667, 0.159], [0.667, 0.333, 0.841], [0.000, 0.000, 0.500], [0.000, 0.500, 0.000], [0.170, 0.340, 0.329], [0.170, 0.830, 0.329], [0.340, 0.170, 0.671], [0.500, 0.000, 0.000], [0.500, 0.500, 0.000], [0.660, 0.830, 0.329], [0.830, 0.170, 0.671], [0.830, 0.660, 0.671]]}

---

Entry 14:
{"formula": "KZrAu", "functional": "PBE", "state": "relaxed", "space_group": "No. 156", "delta_e_f_ev_per_fu": 0.8, "cell": [[3.366, 0.000, 0.000], [-1.683, 2.915, 0.000], [0.000, 0.000, 8.334]], "species": ["K", "Zr", "Au"], "fractional_positions": [[0.000, 0.000, 0.000], [0.333, 0.667, 0.410], [0.667, 0.333, 0.662]]}

---

Entry 15:
{"formula": "LiLaEuCd", "functional": "PBE", "state": "relaxed", "space_group": "No. 216", "delta_e_f_ev_per_fu": -0.5, "cell": [[0.000, 3.931, 3.931], [3.931, 0.000, 3.931], [3.931, 3.931, 0.000]], "species": ["Li", "La", "Eu", "Cd"], "fractional_positions": [[0.000, 0.000, 0.000], [0.750, 0.750, 0.750], [0.250, 0.250, 0.250], [0.500, 0.500, 0.500]]}

---

Entry 16:
{"formula": "Tb7Tm16Sc6", "functional": "PBE", "state": "relaxed", "space_group": "No. 225", "delta_e_f_ev_per_fu": 6.0, "cell": [[0.000, 7.575, 7.575], [7.575, 0.000, 7.575], [7.575, 7.575, 0.000]], "species": ["Tb", "Tb", "Tb", "Tb", "Tb", "Tb", "Tb", "Tm", "Tm", "Tm", "Tm", "Tm", "Tm", "Tm", "Tm", "Tm", "Tm", "Tm", "Tm", "Tm", "Tm", "Tm", "Tm", "Sc", "Sc", "Sc", "Sc", "Sc", "Sc"], "fractional_positions": [[0.000, 0.000, 0.000], [0.000, 0.000, 0.500], [0.000, 0.500, 0.000], [0.000, 0.500, 0.500], [0.500, 0.000, 0.000], [0.500, 0.000, 0.500], [0.500, 0.500, 0.000], [0.147, 0.147, 0.147], [0.147, 0.147, 0.559], [0.147, 0.559, 0.147], [0.162, 0.613, 0.613], [0.387, 0.387, 0.387], [0.387, 0.387, 0.838], [0.387, 0.838, 0.387], [0.441, 0.853, 0.853], [0.559, 0.147, 0.147], [0.613, 0.162, 0.613], [0.613, 0.613, 0.162], [0.613, 0.613, 0.613], [0.838, 0.387, 0.387], [0.853, 0.441, 0.853], [0.853, 0.853, 0.441], [0.853, 0.853, 0.853], [0.225, 0.225, 0.775], [0.225, 0.775, 0.225], [0.225, 0.775, 0.775], [0.775, 0.225, 0.225], [0.775, 0.225, 0.775], [0.775, 0.775, 0.225]]}

---

Entry 17:
{"formula": "Al2CoSe", "functional": "PBE", "state": "relaxed", "space_group": "No. 8", "e_form_raw_ev_per_atom": -0.167, "cell": [[4.335, -1.449, 0.000], [4.335, 1.449, 0.000], [-1.884, 0.000, 5.431]], "species": ["Al", "Al", "Co", "Se"], "fractional_positions": [[0.000, 0.000, 0.000], [0.208, 0.208, 0.690], [0.481, 0.481, 0.661], [0.850, 0.850, 0.317]]}

---

Entry 18:
{"formula": "Rb2PuUSe6", "functional": "PBE", "state": "relaxed", "space_group": "No. 59", "e_form_raw_ev_per_atom": -1.169, "cell": [[7.746, 0.000, 0.000], [0.000, 10.954, 0.000], [0.000, 0.000, 7.745]], "species": ["Rb", "Rb", "Rb", "Rb", "Pu", "Pu", "U", "U", "Se", "Se", "Se", "Se", "Se", "Se", "Se", "Se", "Se", "Se", "Se", "Se"], "fractional_positions": [[0.250, 0.000, 0.249], [0.250, 0.500, 0.249], [0.750, 0.000, 0.751], [0.750, 0.500, 0.751], [0.250, 0.250, 0.750], [0.750, 0.750, 0.250], [0.250, 0.750, 0.750], [0.750, 0.250, 0.250], [0.004, 0.750, 0.504], [0.004, 0.750, 0.995], [0.250, 0.504, 0.750], [0.250, 0.996, 0.750], [0.496, 0.750, 0.504], [0.496, 0.750, 0.995], [0.504, 0.250, 0.005], [0.504, 0.250, 0.496], [0.750, 0.004, 0.250], [0.750, 0.496, 0.250], [0.996, 0.250, 0.005], [0.996, 0.250, 0.496]]}